First-principles (PBE) data for crystalline K2LiNi at its relaxed geometry, as listed in Alexandria via LeMat-Bulk.

- energy above the lowest structure with this stoichiometry (eV/atom) = 0.2892
- SG = No. 166
- ΔE_f (eV/atom) = 0.682

Cell lengths 11.481, 11.481, 11.481 Å; angles 19.01, 19.01, 19.01 degrees
Site moments in Bohr magnetons follow the coordinates.
Positions (direct):
K: 0.016 0.016 0.016  0.00
K: 0.484 0.484 0.484  0.00
Li: 0.250 0.250 0.250  0.03
Ni: 0.750 0.750 0.750  0.55